Entry from the Alexandria database: a PBEsol-optimized structure of CsMn3S (meta-GGA SCAN).

abc: 4.5707 4.5707 4.5707
angles: 90.00 90.00 90.00
Last column: nearest neighbours and their distance in Å.
Space group Pm-3m (No. 221)
Unique sites:
1 Cs 0.0000 0.0000 0.0000  12 Mn 3.23
2 Mn 0.0000 0.5000 0.5000  2 S 2.29
3 S 0.5000 0.5000 0.5000  6 Mn 2.29

The uncorrected formation energy comes out at 0.46 eV per atom. The final energy comes out at -19.982 eV per atom.

---

Entry from the Alexandria database: a PBEsol-optimized structure of CaIn2Pb (meta-GGA SCAN).

abc: 6.4286 9.3446 3.5739
angles: 90.00 90.00 90.00
Last column: nearest neighbours and their distance in Å.
Space group Cmmm (No. 65)
Unique sites:
1 Ca 0.0000 0.0000 0.0000  2 Pb 3.21, 8 In 3.35, 2 Ca 3.57
2 In 0.2500 0.2500 0.5000  4 In 3.21-3.57, 4 Pb 3.35, 4 Ca 3.35
3 Pb 0.0000 0.5000 0.0000  2 Ca 3.21, 8 In 3.35, 2 Pb 3.57

The formation energy is -0.32 eV/atom. The final energy comes out at -38.374 eV per atom.

---

Entry from the Alexandria database: a PBEsol-optimized structure of ScTa2Cl (meta-GGA SCAN).

abc: 3.2860 3.2860 7.9440
angles: 90.00 90.00 90.00
Last column: nearest neighbours and their distance in Å.
Space group P4mm (No. 99)
Unique sites:
1 Sc 0.0000 0.0000 0.0000  4 Cl 2.69, 4 Ta 2.93
2 Ta 0.0000 0.0000 0.3994  4 Ta 2.70
3 Ta 0.5000 0.5000 0.2255  4 Ta 2.70, 4 Sc 2.93
4 Cl 0.5000 0.5000 0.8305  4 Sc 2.69

The excess energy over the best structure of this formula in the dataset comes out at 0.031 eV/atom. The uncorrected formation energy comes out at -0.23 eV per atom. The final energy comes out at -39.074 eV per atom.

---

Entry from the Alexandria database: a PBEsol-optimized structure of Mo2SeS3 (meta-GGA SCAN).

abc: 3.1685 3.1685 25.1974
angles: 90.00 90.00 120.00
Last column: nearest neighbours and their distance in Å.
Space group P3m1 (No. 156)
Unique sites:
1 Mo 0.0000 0.0000 0.0000  6 S 2.40
2 Mo 0.0000 0.0000 0.4928  6 S 2.40
3 Mo 0.3333 0.6667 0.2463  6 S 2.40
4 Mo 0.3333 0.6667 0.7462  6 Se 2.50
5 Se 0.0000 0.0000 0.6786  3 Mo 2.50
6 Se 0.0000 0.0000 0.8138  3 Mo 2.50
7 S 0.0000 0.0000 0.1849  3 Mo 2.40
8 S 0.0000 0.0000 0.3077  3 Mo 2.40
9 S 0.3333 0.6667 0.0614  3 Mo 2.40
10 S 0.3333 0.6667 0.4314  3 Mo 2.40
11 S 0.3333 0.6667 0.5542  3 Mo 2.40
12 S 0.3333 0.6667 0.9385  3 Mo 2.40

The uncorrected formation energy comes out at -0.87 eV per atom. The final energy comes out at -20.657 eV per atom.

---

Entry from the Alexandria database: a PBEsol-optimized structure of FeSb3Pb (meta-GGA SCAN).

abc: 5.6154 5.6154 5.6154
angles: 90.00 90.00 90.00
Last column: nearest neighbours and their distance in Å.
Space group Pm-3m (No. 221)
Unique sites:
1 Fe 0.0000 0.0000 0.0000  12 Sb 3.97
2 Sb 0.0000 0.5000 0.5000  2 Pb 2.81
3 Pb 0.5000 0.5000 0.5000  6 Sb 2.81

The uncorrected formation energy comes out at 1.54 eV per atom. The final energy comes out at -39.594 eV per atom.

---

Entry from the Alexandria database: a PBEsol-optimized structure of ScZn2Os (meta-GGA SCAN).

abc: 6.2351 6.2351 6.2351
angles: 90.00 90.00 90.00
Last column: nearest neighbours and their distance in Å.
Space group F-43m (No. 216)
Unique sites:
1 Sc 0.0000 0.0000 0.0000  4 Os 2.70, 4 Zn 2.70
2 Zn 0.0000 0.0000 0.5000  4 Os 2.70, 4 Zn 2.70
3 Zn 0.2500 0.2500 0.7500  4 Sc 2.70, 4 Zn 2.70
4 Os 0.2500 0.2500 0.2500  4 Sc 2.70, 4 Zn 2.70

The excess energy over the best structure of this formula in the dataset comes out at 0.224 eV/atom. The formation energy is -0.14 eV/atom. The final energy comes out at -28.429 eV per atom.

---

Entry from the Alexandria database: a PBEsol-optimized structure of TlPAu4 (meta-GGA SCAN).

abc: 7.7277 7.7277 7.7277
angles: 90.00 90.00 90.00
Last column: nearest neighbours and their distance in Å.
Space group F-43m (No. 216)
Unique sites:
1 Tl 0.0000 0.0000 0.0000  12 Au 3.20, 4 P 3.35
2 P 0.2500 0.2500 0.7500  12 Au 3.20, 4 Tl 3.35
3 Au 0.1247 0.1247 0.3753  6 Au 2.73-2.74

The formation energy is 0.33 eV/atom. The final energy comes out at -59.569 eV per atom.

---

Entry from the Alexandria database: a PBEsol-optimized structure of CaTiCu2W (meta-GGA SCAN).

abc: 4.8380 4.8380 4.5185
angles: 90.00 90.00 90.00
Last column: nearest neighbours and their distance in Å.
Space group P4/mmm (No. 123)
Unique sites:
1 Ca 0.0000 0.0000 0.0000  8 Cu 3.31, 4 Ti 3.42
2 Ti 0.5000 0.5000 0.0000  2 W 2.26
3 Cu 0.0000 0.5000 0.5000  2 W 2.42
4 W 0.5000 0.5000 0.5000  2 Ti 2.26, 4 Cu 2.42

The formation energy is 0.78 eV/atom. The final energy comes out at -24.376 eV per atom.

---

Entry from the Alexandria database: a PBEsol-optimized structure of TaInTe2 (meta-GGA SCAN).

abc: 3.5093 3.5093 7.6958
angles: 90.00 90.00 90.00
Last column: nearest neighbours and their distance in Å.
Space group P4mm (No. 99)
Unique sites:
1 Ta 0.0000 0.0000 0.0000  4 Te 2.92, 4 In 2.97
2 In 0.5000 0.5000 0.7870  4 Ta 2.97, 5 Te 3.00-3.17
3 Te 0.0000 0.0000 0.5686  4 In 3.00, 1 Ta 3.32
4 Te 0.5000 0.5000 0.1994  4 Ta 2.92, 1 In 3.17

The uncorrected formation energy comes out at 0.15 eV per atom. The final energy comes out at -43.471 eV per atom.

---

Entry from the Alexandria database: a PBEsol-optimized structure of BiCSe2F (meta-GGA SCAN).

abc: 4.7095 4.7095 4.0389
angles: 90.00 90.00 90.00
Last column: nearest neighbours and their distance in Å.
Space group P4/mmm (No. 123)
Unique sites:
1 Bi 0.0000 0.0000 0.0000  8 Se 3.10, 4 C 3.33
2 C 0.5000 0.5000 0.0000  2 F 2.02
3 Se 0.0000 0.5000 0.5000  2 F 2.35
4 F 0.5000 0.5000 0.5000  2 C 2.02

The uncorrected formation energy comes out at 1.28 eV per atom. The final energy comes out at -25.199 eV per atom.

---

Entry from the Alexandria database: a PBEsol-optimized structure of K3HSe2O8 (meta-GGA SCAN).

abc: 14.9759 5.9330 10.0884
angles: 90.00 104.14 90.00
Last column: nearest neighbours and their distance in Å.
Space group Cc (No. 9)
Unique sites:
1 K 0.0000 0.2285 0.0000  6 O 2.75-2.95
2 K 0.1130 0.2697 0.6971  6 O 2.76-2.94
3 K 0.3074 0.2414 0.0982  6 O 2.70-2.90, 2 H 2.90-2.91
4 H 0.3069 0.0168 0.3542  1 O 1.14
5 Se 0.1881 0.2300 0.3869  4 O 1.64-1.74
6 Se 0.4218 0.2279 0.8089  4 O 1.65-1.71
7 O 0.1471 0.0041 0.4474  1 Se 1.65
8 O 0.1510 0.2532 0.2193  1 Se 1.65
9 O 0.1770 0.4629 0.4698  1 Se 1.64
10 O 0.3057 0.1781 0.4143  1 H 1.14
11 O 0.3068 0.1719 0.7839  1 H 1.33
12 O 0.4356 0.4616 0.7274  1 Se 1.65
13 O 0.4619 0.2524 0.9769  1 Se 1.66
14 O 0.4660 0.0044 0.7494  1 Se 1.66

The final energy comes out at -9.863 eV per atom.

---

Entry from the Alexandria database: a PBEsol-optimized structure of Ba2CoAgF (meta-GGA SCAN).

abc: 5.2211 5.2211 4.9377
angles: 90.00 90.00 90.00
Last column: nearest neighbours and their distance in Å.
Space group P4/mmm (No. 123)
Unique sites:
1 Ba 0.0000 0.5000 0.0000  2 F 2.61
2 Co 0.0000 0.0000 0.5000  8 Ba 3.59, 4 Ag 3.69
3 Ag 0.5000 0.5000 0.5000  2 F 2.47
4 F 0.5000 0.5000 0.0000  2 Ag 2.47, 4 Ba 2.61

The uncorrected formation energy comes out at -0.71 eV per atom. The final energy comes out at -26.970 eV per atom.